Cu4P2O9 | GGA-PBEsol | relaxed

Properties
Magnetization, Bohr magnetons per cell: 4.01
DOS(E_F), states/eV/f.u.: 1.29
Raw formation energy, eV/atom: -1.308
Excess energy over the best structure of this formula in the dataset, meV/atom: 9.3

a = 6.1934 Å, b = 7.5365 Å, c = 8.0164 Å
α = 99.33°, β = 111.66°, γ = 97.92°
Element x y z (fractional)
O  0.4915  0.4172  0.3333
O  0.6625  0.9285  0.8138
O  0.8832  0.0312  0.2610
O  0.5085  0.5828  0.6667
O  0.2574  0.2027  0.5311
O  0.8661  0.6902  0.9752
O  0.0047  0.6229  0.6746
O  0.2991  0.7204  0.1994
O  0.1168  0.9688  0.7390
O  0.5259  0.2705  0.0359
O  0.9953  0.3771  0.3254
O  0.1339  0.3098  0.0248
O  0.1456  0.7773  0.4597
O  0.8544  0.2227  0.5403
O  0.7009  0.2796  0.8006
O  0.4741  0.7295  0.9641
O  0.7426  0.7973  0.4689
O  0.3375  0.0715  0.1862
Cu  0.6011  0.8619  0.2354
Cu  0.3989  0.1381  0.7646
Cu  0.1503  0.6710  0.9372
Cu  0.3449  0.6150  0.4097
Cu  0.8497  0.3290  0.0628
Cu  0.6551  0.3850  0.5903
Cu  0.8728  0.1011  0.7504
Cu  0.1272  0.8989  0.2496
P  0.9987  0.7857  0.5802
P  0.6300  0.7347  0.8493
P  0.0013  0.2143  0.4198
P  0.3700  0.2653  0.1507

---

Cu2PO5 | GGA-PBEsol | relaxed

Properties
Magnetization, Bohr magnetons per cell: 0.00
DOS(E_F), states/eV/f.u.: 4.11
Raw formation energy, eV/atom: -1.254

a = 5.7107 Å, b = 7.8986 Å, c = 8.3960 Å
α = 90.00°, β = 90.00°, γ = 90.00°
Element x y z (fractional)
O  0.7230  0.6613  0.7403
O  0.2770  0.3387  0.2597
O  0.0000  0.1243  0.0793
O  0.7770  0.1613  0.7597
O  0.5000  0.0946  0.3836
O  0.0000  0.3649  0.5840
O  0.2230  0.1613  0.7597
O  0.0000  0.5946  0.1164
O  0.0000  0.4054  0.8836
O  0.5000  0.9054  0.6164
O  0.0000  0.8757  0.9207
O  0.5000  0.3757  0.5793
O  0.2770  0.6613  0.7403
O  0.5000  0.8649  0.9160
O  0.5000  0.6243  0.4207
O  0.7230  0.3387  0.2597
O  0.7770  0.8387  0.2403
O  0.2230  0.8387  0.2403
O  0.0000  0.6351  0.4160
O  0.5000  0.1351  0.0840
Cu  0.0000  0.6502  0.8836
Cu  0.2520  0.5000  0.5000
Cu  0.7520  0.0000  0.0000
Cu  0.2480  0.0000  0.0000
Cu  0.0000  0.3498  0.1164
Cu  0.7480  0.5000  0.5000
Cu  0.5000  0.8498  0.3836
Cu  0.5000  0.1502  0.6164
P  0.5000  0.7682  0.7516
P  0.0000  0.7318  0.2516
P  0.5000  0.2318  0.2484
P  0.0000  0.2682  0.7484

---

Cu5P2O10 | GGA-PBEsol | relaxed

Properties
Magnetization, Bohr magnetons per cell: 1.02
DOS(E_F), states/eV/f.u.: 2.58
Raw formation energy, eV/atom: -1.232

a = 5.1959 Å, b = 5.2076 Å, c = 7.6171 Å
α = 83.01°, β = 90.02°, γ = 68.82°
Element x y z (fractional)
O  0.3768  0.7548  0.1098
O  0.9532  0.3208  0.1184
O  0.0468  0.6792  0.8816
O  0.6232  0.2452  0.8902
O  0.8131  0.1012  0.6023
O  0.3011  0.3783  0.6113
O  0.4878  0.8855  0.7577
O  0.5122  0.1145  0.2423
O  0.1869  0.8988  0.3977
O  0.6989  0.6217  0.3887
P  0.4515  0.8458  0.2888
P  0.5485  0.1542  0.7112
Cu  0.7120  0.6201  0.9480
Cu  0.2880  0.3799  0.0520
Cu  0.8801  0.2484  0.3613
Cu  0.1199  0.7516  0.6387
Cu  0.0000  0.0000  0.0000

---

Cu3P4O14 | GGA-PBEsol | relaxed

Properties
Magnetization, Bohr magnetons per cell: 1.06
DOS(E_F), states/eV/f.u.: 4.85
Raw formation energy, eV/atom: -1.571
Excess energy over the best structure of this formula in the dataset, meV/atom: 2.2

a = 4.6163 Å, b = 7.0154 Å, c = 9.0835 Å
α = 58.74°, β = 92.31°, γ = 76.32°
Element x y z (fractional)
O  0.6852  0.9879  0.2505
O  0.3148  0.0121  0.7495
O  0.6843  0.6298  0.8178
O  0.7880  0.0046  0.6129
O  0.7614  0.4013  0.3261
O  0.2386  0.5987  0.6739
O  0.1668  0.1805  0.0488
O  0.8332  0.8195  0.9512
O  0.3256  0.7444  0.1562
O  0.3157  0.3702  0.1822
O  0.2120  0.9954  0.3871
O  0.7355  0.5882  0.5542
O  0.6744  0.2556  0.8438
O  0.2645  0.4118  0.4458
P  0.6538  0.8852  0.7786
P  0.4136  0.4803  0.2849
P  0.3462  0.1148  0.2214
P  0.5864  0.5197  0.7151
Cu  0.9660  0.7963  0.4629
Cu  0.0000  0.0000  0.0000
Cu  0.0340  0.2037  0.5371

---

Cu3P4O14 | GGA-PBEsol | relaxed

Properties
Magnetization, Bohr magnetons per cell: 1.54
DOS(E_F), states/eV/f.u.: 3.65
Raw formation energy, eV/atom: -1.573
Excess energy over the best structure of this formula in the dataset, meV/atom: 0.0

a = 7.0090 Å, b = 8.5764 Å, c = 9.3454 Å
α = 90.00°, β = 110.82°, γ = 90.00°
Element x y z (fractional)
P  0.6130  0.0071  0.2065
P  0.9261  0.2328  0.1996
P  0.3870  0.9929  0.7935
P  0.0739  0.7328  0.3004
P  0.9261  0.2672  0.6996
P  0.6130  0.4929  0.7065
P  0.0739  0.7672  0.8004
P  0.3870  0.5071  0.2935
O  0.0093  0.1144  0.1136
O  0.9739  0.7251  0.1231
O  0.3641  0.3799  0.4025
O  0.3866  0.0341  0.1808
O  0.3641  0.1201  0.9025
O  0.6134  0.9659  0.8192
O  0.6134  0.5341  0.3192
O  0.7196  0.9646  0.3745
O  0.9907  0.8856  0.8864
O  0.0261  0.2749  0.8769
O  0.3003  0.6701  0.3299
O  0.2804  0.0354  0.6255
O  0.3003  0.8299  0.8299
O  0.6359  0.6201  0.5975
O  0.0895  0.8990  0.3561
O  0.2804  0.4646  0.1255
O  0.9105  0.3990  0.1439
O  0.9105  0.1010  0.6439
O  0.0261  0.2251  0.3769
O  0.9739  0.7749  0.6231
O  0.6997  0.1701  0.1701
O  0.0895  0.6010  0.8561
O  0.3866  0.4659  0.6808
O  0.9907  0.6144  0.3864
O  0.6997  0.3299  0.6701
O  0.7196  0.5354  0.8745
O  0.6359  0.8799  0.0975
O  0.0093  0.3856  0.6136
Cu  0.0000  0.0000  0.5000
Cu  0.1960  0.1305  0.0134
Cu  0.0000  0.5000  0.0000
Cu  0.1960  0.3695  0.5134
Cu  0.8040  0.8695  0.9866
Cu  0.8040  0.6305  0.4866

---

CuPO3 | GGA-PBEsol | relaxed

Properties
Magnetization, Bohr magnetons per cell: 0.00
DOS(E_F), states/eV/f.u.: 0.00
Raw formation energy, eV/atom: -1.531

a = 4.7931 Å, b = 10.3637 Å, c = 10.9678 Å
α = 100.36°, β = 90.00°, γ = 90.00°
Element x y z (fractional)
P  0.2742  0.5026  0.7244
P  0.2712  0.9154  0.6293
P  0.7712  0.5846  0.8707
P  0.7258  0.4974  0.2756
P  0.7742  0.9974  0.7756
P  0.7288  0.0846  0.3707
P  0.2288  0.4154  0.1293
P  0.2258  0.0026  0.2244
O  0.0642  0.6043  0.8047
O  0.7719  0.2095  0.4592
O  0.4377  0.4208  0.2479
O  0.2281  0.7905  0.5408
O  0.9377  0.0792  0.2521
O  0.7610  0.4575  0.9172
O  0.9358  0.3957  0.1953
O  0.7888  0.5055  0.4121
O  0.7281  0.7095  0.9592
O  0.2719  0.2905  0.0408
O  0.2888  0.9945  0.0879
O  0.7112  0.0055  0.9121
O  0.2206  0.8762  0.2746
O  0.5642  0.8957  0.6953
O  0.7206  0.6238  0.2254
O  0.2610  0.0425  0.5828
O  0.5623  0.5792  0.7521
O  0.0623  0.9208  0.7479
O  0.2390  0.5425  0.0828
O  0.7390  0.9575  0.4172
O  0.2112  0.4945  0.5879
O  0.7794  0.1238  0.7254
O  0.4358  0.1043  0.3047
O  0.2794  0.3762  0.7746
Cu  0.0033  0.6534  0.4766
Cu  0.7514  0.2873  0.8272
Cu  0.2486  0.7127  0.1728
Cu  0.2514  0.2127  0.6728
Cu  0.7486  0.7873  0.3272
Cu  0.9967  0.3466  0.5234
Cu  0.4967  0.1534  0.9766
Cu  0.5033  0.8466  0.0234

---

Cu2P3O10 | GGA-PBEsol | relaxed

Properties
Magnetization, Bohr magnetons per cell: 6.01
DOS(E_F), states/eV/f.u.: 4.89
Raw formation energy, eV/atom: -1.597

a = 4.6125 Å, b = 8.2642 Å, c = 8.8857 Å
α = 90.00°, β = 99.01°, γ = 90.00°
Element x y z (fractional)
O  0.2034  0.2500  0.7637
O  0.1528  0.5946  0.7960
O  0.4236  0.2500  0.2885
O  0.7686  0.5937  0.5093
O  0.8472  0.4054  0.2040
O  0.2314  0.4063  0.4907
O  0.7686  0.9063  0.5093
O  0.2870  0.7500  0.4450
O  0.3199  0.9069  0.1775
O  0.6801  0.0931  0.8225
O  0.8472  0.0946  0.2040
O  0.5764  0.7500  0.7115
O  0.5265  0.7500  0.9749
O  0.2314  0.0937  0.4907
O  0.6801  0.4069  0.8225
O  0.7966  0.7500  0.2363
O  0.1528  0.9054  0.7960
O  0.7130  0.2500  0.5550
O  0.4735  0.2500  0.0251
O  0.3199  0.5931  0.1775
Cu  0.0525  0.9324  0.3314
Cu  0.0525  0.5676  0.3314
Cu  0.9475  0.4324  0.6686
Cu  0.9475  0.0676  0.6686
P  0.5254  0.2500  0.8506
P  0.3964  0.2500  0.4634
P  0.6797  0.2500  0.1858
P  0.6036  0.7500  0.5366
P  0.3203  0.7500  0.8142
P  0.4746  0.7500  0.1494

---

Cu4P2O9 | GGA-PBEsol | relaxed

Properties
Magnetization, Bohr magnetons per cell: 8.14
DOS(E_F), states/eV/f.u.: 3.29
Raw formation energy, eV/atom: -1.317
Excess energy over the best structure of this formula in the dataset, meV/atom: 0.0

a = 6.2515 Å, b = 8.0738 Å, c = 13.3653 Å
α = 90.00°, β = 90.00°, γ = 90.00°
Element x y z (fractional)
Cu  0.4918  0.3528  0.3432
Cu  0.2500  0.4343  0.9122
Cu  0.5082  0.1472  0.8432
Cu  0.7500  0.3577  0.5532
Cu  0.0082  0.3528  0.3432
Cu  0.9918  0.6472  0.6568
Cu  0.2500  0.6423  0.4468
Cu  0.2500  0.9343  0.5878
Cu  0.7500  0.5657  0.0878
Cu  0.9918  0.1472  0.8432
Cu  0.4918  0.8528  0.1568
Cu  0.0082  0.8528  0.1568
Cu  0.2500  0.1423  0.0532
Cu  0.5082  0.6472  0.6568
Cu  0.7500  0.0657  0.4122
Cu  0.7500  0.8577  0.9468
O  0.7500  0.8020  0.0926
O  0.0478  0.1130  0.3496
O  0.5478  0.3870  0.8496
O  0.9565  0.5858  0.3613
O  0.2500  0.4061  0.4744
O  0.9565  0.0858  0.1387
O  0.7500  0.6199  0.9327
O  0.7500  0.1199  0.5673
O  0.9522  0.3870  0.8496
O  0.2500  0.1621  0.5936
O  0.4565  0.9142  0.8613
O  0.2500  0.6980  0.5926
O  0.2500  0.8994  0.2449
O  0.7500  0.8379  0.4064
O  0.4522  0.6130  0.1504
O  0.0435  0.9142  0.8613
O  0.7500  0.5939  0.5256
O  0.5435  0.0858  0.1387
O  0.2500  0.9061  0.0256
O  0.4522  0.1130  0.3496
O  0.2500  0.8801  0.4327
O  0.9522  0.8870  0.6504
O  0.5478  0.8870  0.6504
O  0.7500  0.6006  0.7449
O  0.2500  0.3994  0.2551
O  0.2500  0.6621  0.9064
O  0.7500  0.0939  0.9744
O  0.5435  0.5858  0.3613
O  0.4565  0.4142  0.6387
O  0.7500  0.3020  0.4074
O  0.0478  0.6130  0.1504
O  0.0435  0.4142  0.6387
O  0.2500  0.1980  0.9074
O  0.2500  0.3801  0.0673
O  0.7500  0.3379  0.0936
O  0.7500  0.1006  0.7551
P  0.2500  0.8478  0.9140
P  0.7500  0.1522  0.0860
P  0.7500  0.4973  0.8443
P  0.2500  0.3478  0.5860
P  0.2500  0.0027  0.3443
P  0.7500  0.9973  0.6557
P  0.2500  0.5027  0.1557
P  0.7500  0.6522  0.4140

---

Cu9P8O32 | GGA-PBEsol | relaxed

Properties
Magnetization, Bohr magnetons per cell: 2.69
DOS(E_F), states/eV/f.u.: 10.03
Raw formation energy, eV/atom: -1.411

a = 8.6352 Å, b = 8.7647 Å, c = 9.0019 Å
α = 111.50°, β = 99.27°, γ = 106.32°
Element x y z (fractional)
O  0.4055  0.4373  0.7696
O  0.3076  0.9336  0.1284
O  0.1624  0.1698  0.4149
O  0.5556  0.8795  0.5634
O  0.1172  0.0652  0.6582
O  0.5822  0.2445  0.1092
O  0.9821  0.3433  0.0079
O  0.8095  0.5320  0.7058
O  0.4444  0.1205  0.4366
O  0.1905  0.4680  0.2942
O  0.4278  0.0895  0.7243
O  0.8376  0.8302  0.5851
O  0.8828  0.9348  0.3418
O  0.5945  0.5627  0.2304
O  0.4178  0.7555  0.8908
O  0.4020  0.5795  0.5800
O  0.8126  0.8020  0.9408
O  0.1538  0.5379  0.7112
O  0.0179  0.6567  0.9921
O  0.7121  0.5112  0.9580
O  0.0961  0.7417  0.5469
O  0.5722  0.9105  0.2757
O  0.7189  0.2048  0.6763
O  0.8462  0.4621  0.2888
O  0.9039  0.2583  0.4531
O  0.2879  0.4888  0.0420
O  0.9315  0.1185  0.1750
O  0.6924  0.0664  0.8716
O  0.5980  0.4205  0.4200
O  0.1874  0.1980  0.0592
O  0.2811  0.7952  0.3237
O  0.0685  0.8815  0.8250
Cu  0.7143  0.8833  0.4365
Cu  0.3498  0.6855  0.4451
Cu  0.7902  0.2740  0.0687
Cu  0.5000  0.5000  0.0000
Cu  0.0000  0.5000  0.5000
Cu  0.6502  0.3145  0.5549
Cu  0.2857  0.1167  0.5635
Cu  0.0000  0.0000  0.0000
Cu  0.2098  0.7260  0.9313
P  0.3510  0.5760  0.7320
P  0.4036  0.9322  0.2860
P  0.1634  0.3773  0.1019
P  0.9693  0.1190  0.3511
P  0.0307  0.8810  0.6489
P  0.6490  0.4240  0.2680
P  0.8366  0.6227  0.8981
P  0.5964  0.0678  0.7140

---

CuPO3 | GGA-PBEsol | relaxed

Properties
Magnetization, Bohr magnetons per cell: 0.00
DOS(E_F), states/eV/f.u.: 0.00
Raw formation energy, eV/atom: -1.554

a = 5.6820 Å, b = 9.8027 Å, c = 9.8027 Å
α = 116.36°, β = 101.14°, γ = 101.14°
Element x y z (fractional)
O  0.2273  0.2664  0.1976
O  0.9608  0.9312  0.7336
O  0.0392  0.0688  0.2664
O  0.9703  0.1976  0.9312
O  0.9425  0.6471  0.5691
O  0.0339  0.5570  0.8402
O  0.3733  0.4309  0.0779
O  0.6267  0.5691  0.9221
O  0.8063  0.8402  0.2832
O  0.5231  0.7168  0.5570
O  0.7727  0.7336  0.8024
O  0.2954  0.9221  0.3529
O  0.0297  0.8024  0.0688
O  0.4769  0.2832  0.4430
O  0.9661  0.4430  0.1598
O  0.1937  0.1598  0.7168
O  0.7046  0.0779  0.6471
O  0.0575  0.3529  0.4309
P  0.1400  0.3509  0.0988
P  0.9587  0.0988  0.7478
P  0.8600  0.6491  0.9012
P  0.7891  0.7478  0.6491
P  0.0413  0.9012  0.2522
P  0.2109  0.2522  0.3509
Cu  0.6067  0.2049  0.5690
Cu  0.0377  0.4310  0.6359
Cu  0.5982  0.6359  0.2049
Cu  0.4018  0.3641  0.7951
Cu  0.3933  0.7951  0.4310
Cu  0.9623  0.5690  0.3641

---

CuPPbO2 | GGA-PBEsol | relaxed

Properties
Magnetization, Bohr magnetons per cell: 0.02
DOS(E_F), states/eV/f.u.: 4.07
Raw formation energy, eV/atom: 0.006

a = 3.8711 Å, b = 3.8711 Å, c = 4.5610 Å
α = 90.00°, β = 90.00°, γ = 90.00°
Element x y z (fractional)
P  0.0000  0.0000  0.5000
Pb  0.5000  0.5000  0.5000
O  0.0000  0.5000  0.0000
O  0.5000  0.0000  0.0000
Cu  0.0000  0.0000  0.0000